DFT (PBE) results for a relaxed structure of ZrSiBr2.

Output
DFT total energy: -4.13 eV/atom
uncorrected formation energy: 0.80 eV/f.u.
calculated density: 5.21 Mg/m³
excess energy over the best structure of this formula in the dataset: 0.872 eV/atom

Structure (CIF):
```
data_ZrSiBr2
_chemical_formula_sum 'Zr1 Si1 Br2'
_cell_length_a 4.392
_cell_length_b 4.392
_cell_length_c 4.612
_cell_angle_alpha 90.00
_cell_angle_beta 90.00
_cell_angle_gamma 90.00
_space_group_name_H-M_alt 'P 4/m m m'
_space_group_IT_number 123
_space_group_name_Hall '-P 4 2'
loop_
_atom_site_label
_atom_site_type_symbol
_atom_site_fract_x
_atom_site_fract_y
_atom_site_fract_z
Zr1 Zr 0.000 0.000 0.000
Si1 Si 0.500 0.500 0.000
Br1 Br 0.000 0.500 0.500
```